Computed, not measured: an optimized crystal structure of Li4Mn3Cr3Ni2O16 at the GGA-PBEsol level of DFT.

Results
total moment = 1.990 Bohr magnetons per cell
SG = Cm (8)
total energy = -7.580 eV per atom

Unit cell a=5.660 b=5.579 c=9.396 alpha=89.67 beta=90.00 gamma=120.48
Site moments in Bohr magnetons follow the coordinates.
Atoms (fractional coordinates):
O1 0.476 0.952 0.665  -0.07
Li1 0.999 0.999 0.002  0.00
O2 0.664 0.327 0.399  0.02
O3 0.523 0.046 0.167  -0.01
O4 0.523 0.490 0.164  -0.02
Ni1 0.665 0.329 0.011  -1.18
Mn1 0.837 0.181 0.287  2.52
O5 0.007 0.014 0.188  0.01
O6 0.830 0.660 0.890  -0.12
O7 0.478 0.512 0.659  -0.09
Mn2 0.173 0.347 0.785  -2.40
Mn3 0.344 0.181 0.287  2.52
O8 0.967 0.490 0.164  -0.02
Cr1 0.830 0.660 0.287  -1.96
O9 0.163 0.841 0.394  0.00
Ni2 0.335 0.670 0.510  -1.01
Cr2 0.168 0.820 0.790  1.95
Li2 0.663 0.327 0.604  0.00
Li3 0.336 0.671 0.108  0.00
O10 0.034 0.512 0.659  -0.09
O11 0.330 0.659 0.906  -0.01
Cr3 0.652 0.820 0.790  1.95
Li4 0.000 0.001 0.506  0.00
O12 0.834 0.159 0.892  -0.07
O13 0.165 0.330 0.397  0.03
O14 0.679 0.841 0.394  0.00
O15 0.000 0.000 0.693  0.00
O16 0.324 0.159 0.892  -0.07